Record 1
Computed, not measured: an optimized crystal structure of HgWAu3 at the GGA-PBE level of DFT.

abc: 5.1234 5.1234 5.1234
angles: 90.00 90.00 90.00
Last column: nearest neighbours and their distance in Å.
Atoms (fractional coordinates):
Au 0.0000 0.5000 0.0000  2 Hg 2.56
Au 0.5000 0.0000 0.0000  2 Hg 2.56
Hg 0.0000 0.0000 0.0000  6 Au 2.56
Au 0.0000 0.0000 0.5000  2 Hg 2.56
W 0.5000 0.5000 0.5000  12 Au 3.62

Calculated values
Its space-group type is Pm-3m, No. 221. The value obtained for the formation energy is 1723 meV/atom. The value obtained for the density of states at the Fermi level is 0.528 states/eV per atom. The calculation puts the energy above the lowest structure with this stoichiometry at 3.01 eV per formula unit.

***

Record 2
Computed, not measured: an optimized crystal structure of ErRe2 at the GGA-PBE level of DFT.

abc: 5.3942 5.3941 8.8021
angles: 90.00 90.00 120.00
Last column: nearest neighbours and their distance in Å.
Atoms (fractional coordinates):
Re 0.1713 0.8287 0.7500  6 Re 2.62-2.77
Re 0.0000 0.0000 0.0000  6 Re 2.72
Re 0.6573 0.8287 0.7500  6 Re 2.62-2.77
Er 0.6667 0.3333 0.9381  12 Re 3.13-3.16, 4 Er 3.30-3.31
Er 0.6667 0.3333 0.5619  12 Re 3.13-3.16, 4 Er 3.30-3.31
Re 0.8287 0.1713 0.2500  6 Re 2.62-2.77
Re 0.3427 0.1713 0.2500  6 Re 2.62-2.77
Er 0.3333 0.6667 0.4381  12 Re 3.13-3.16, 4 Er 3.30-3.31
Re 0.1713 0.3427 0.7500  6 Re 2.62-2.77
Er 0.3333 0.6667 0.0619  12 Re 3.13-3.16, 4 Er 3.30-3.31
Re 0.0000 0.0000 0.5000  6 Re 2.72
Re 0.8287 0.6573 0.2500  6 Re 2.62-2.77

Calculated values
Its space-group type is P6_3/mmc, No. 194. The value obtained for the formation energy is -271 meV/atom. The value obtained for the density of states at the Fermi level is 0.642 states/eV per atom.

***

Record 3
Computed, not measured: an optimized crystal structure of CaSc3Se at the GGA-PBE level of DFT.

abc: 5.1943 5.1943 5.1943
angles: 90.00 90.00 90.00
Last column: nearest neighbours and their distance in Å.
Atoms (fractional coordinates):
Sc 0.0000 0.0000 0.5000  2 Ca 2.60
Se 0.5000 0.5000 0.5000  12 Sc 3.67
Sc 0.0000 0.5000 0.0000  2 Ca 2.60
Ca 0.0000 0.0000 0.0000  6 Sc 2.60
Sc 0.5000 0.0000 0.0000  2 Ca 2.60

Calculated values
Its space-group type is Pm-3m, No. 221. Its uncorrected formation energy is 1.073 eV per atom. The value obtained for the density of states at the Fermi level is 1.252 states/eV per atom. The calculation puts the energy above the lowest structure with this stoichiometry at 7.30 eV per formula unit.

***

density of states at the Fermi level of number 2 (ErRe2)? 0.642 states/eV per atom

***

Look up the density of states at the Fermi level of the second one. 0.642 states/eV per atom